Crystalline HoCoNO at its relaxed geometry. Source: OQMD via LeMat-Bulk, functional PBE with a Hubbard U.

Values from the calculation:
VASP energy: -0.5177 Ry/atom
density: 8.3 g cm⁻³
crystal system: tetragonal
distance to the lowest polymorph of the same formula: 95 meV per atom
space group: P4/nmm, No. 129
V: 101 Å³/cell

```
HoCoNO
1.0
-2.9976 -1.0542 1.7954
1.7349 -3.0047 1.1324
2.3948 3.7107 6.1771
Co N Ho O
2 2 2 2
direct
0.0000 0.0000 0.5000
0.5000 0.5000 0.5000
0.5000 0.0000 0.3654
0.0000 0.5000 0.6346
0.0000 0.5000 0.1552
0.5000 0.0000 0.8448
0.5000 0.5000 0.0000
0.0000 0.0000 0.0000
```